Entry 1:
# MgZrTe2

A geometry-optimized MgZrTe2 structure (GGA-PBE, the Alexandria database).

Properties
**Formation energy (no corrections)**: -0.64 eV/atom
**Crystal system**: tetragonal
**Magnetization**: 0.000 μB/atom

a b c (Å): 3.6689 3.6689 7.1792
angles (deg): 90.00 90.00 90.00
Last column: nearest neighbours and their distance in Å.
Fractional coordinates of all 4 atoms:
Zr (0.5000, 0.5000, 0.2500)  8 Te 3.09
Te (0.0000, 0.0000, 0.4834)  4 Zr 3.09, 4 Mg 3.22, 1 Te 3.35
Te (0.0000, 0.0000, 0.0166)  4 Zr 3.09, 4 Mg 3.22, 1 Te 3.35
Mg (0.5000, 0.5000, 0.7500)  8 Te 3.22, 2 Zr 3.59

---

Entry 2:
# LaBe2Cd

A geometry-optimized LaBe2Cd structure (GGA-PBE, the Alexandria database).

Properties
**Crystal system**: monoclinic
**Magnetization**: 0.000 μB/atom
**DFT formation energy**: 360 meV per atom

a b c (Å): 4.1415 3.0204 6.3343
angles (deg): 79.39 90.00 90.00
Last column: nearest neighbours and their distance in Å.
Fractional coordinates of all 4 atoms:
Be (0.0000, 0.0580, 0.0791)  2 Cd 2.45, 2 Be 2.58-2.64
Be (0.0000, 0.4420, 0.4209)  2 Cd 2.45, 2 Be 2.58-2.64
Cd (0.5000, 0.2500, 0.2500)  4 Be 2.45
La (0.5000, 0.7500, 0.7500)  2 La 3.02, 8 Be 3.20-3.38, 2 Cd 3.25

---

Entry 3:
# CeMgZn2

A geometry-optimized CeMgZn2 structure (GGA-PBE, the Alexandria database).

Properties
**Crystal system**: cubic
**Distance to the lowest polymorph of the same formula**: 0 meV/atom
**Magnetization**: 0.142 μB/atom
**DFT formation energy**: -277 meV per atom

a b c (Å): 4.9003 4.9003 4.9003
angles (deg): 60.00 60.00 60.00
Last column: nearest neighbours and their distance in Å.
Fractional coordinates of all 4 atoms:
Zn (0.2500, 0.2500, 0.2500)  4 Ce 3.00, 4 Mg 3.00
Zn (0.7500, 0.7500, 0.7500)  4 Ce 3.00, 4 Mg 3.00
Mg (0.5000, 0.5000, 0.5000)  8 Zn 3.00
Ce (0.0000, 0.0000, 0.0000)  8 Zn 3.00

---

Number 1: energy -4.7450 eV per atom. Number 2: energy -2.9637 eV per atom. Number 3: energy -2.7964 eV per atom.